# NbVGaRu, optimized geometry, DFT PBE-GGA
# Formation energy from the elements: -287 meV/atom
# DOS(E_F): 0.52 states/eV/atom
data_NbVGaRu
_cell_length_a 4.418
_cell_length_b 4.418
_cell_length_c 4.418
_cell_angle_alpha 60.00
_cell_angle_beta 60.00
_cell_angle_gamma 60.00
_space_group_name_H-M_alt 'P 1'
_space_group_IT_number 1
loop_
_space_group_symop_operation_xyz
'x,y,z'
loop_
_atom_site_label
_atom_site_fract_x
_atom_site_fract_y
_atom_site_fract_z
V1 0.250 0.250 0.250
Ga1 0.000 0.000 0.000
Nb1 0.500 0.500 0.500
Ru1 0.750 0.750 0.750